DFT (PBE with a Hubbard U) results for SrFeOsO6 after structural relaxation.

The space group is P312 (No. 149) and the conventional cell measures 5.2579, 5.2579 and 5.3494 Å, with angles of 90.00, 90.00 and 120.00 degrees. Symmetry generates all atoms from Sr at (0.0000, 0.0000, 0.0000), Fe at (0.3333, 0.6667, 0.5000), Os at (0.6667, 0.3333, 0.5000) and O at (0.3869, 0.0170, 0.7004).

The calculation puts the density at 5.6 g/cm³. As for the total DFT energy (no corrections): -6.954 eV/atom. The density of states at the Fermi level is 0.37 states/eV per atom.